CsCeCl2: relaxed, PBE.

The space group is R-3m (No. 166, hexagonal axes) and the conventional cell measures 3.9853, 3.9853 and 31.3700 Å, with angles of 90.00, 90.00 and 120.00 degrees. The inequivalent atoms are Cs at (0.0000, 0.0000, 0.0000), Ce at (0.0000, 0.0000, 0.5000) and Cl at (0.0000, 0.0000, 0.1072).

Its formation energy from raw total energies is -1.38 eV per atom.

=====

V2Ni15Rh2: relaxed, PBE.

The space group is R-3m (No. 166, hexagonal axes) and the conventional cell measures 8.0711, 8.0711 and 12.1842 Å, with angles of 90.00, 90.00 and 120.00 degrees. The inequivalent atoms are V at (0.0000, 0.0000, 0.1050), Ni at (0.0000, 0.3041, 0.0000), Ni at (0.0000, 0.5000, 0.5000), Ni at (0.0052, 0.5026, 0.1532) and Rh at (0.0000, 0.0000, 0.3045).

Its formation energy is 0.106 eV per atom.

=====

RhPbI3: relaxed, PBE.

The space group is Pm-3m (No. 221) and the conventional cell measures 5.426, 5.426 and 5.426 Å, with angles of 90.00, 90.00 and 90.00 degrees. The inequivalent atoms are Rh at (0.000, 0.000, 0.000), Pb at (0.500, 0.500, 0.500) and I at (0.000, 0.000, 0.500).

The value obtained for the energy above the most stable polymorph in this dataset is 0 meV/atom. Its formation energy from raw total energies is -0.04 eV per atom.

=====

AcTbAgPd: relaxed, PBE.

The space group is F-43m (No. 216) and the conventional cell measures 7.493, 7.493 and 7.493 Å, with angles of 90.00, 90.00 and 90.00 degrees. The inequivalent atoms are Ac at (0.000, 0.000, 0.000), Tb at (0.000, 0.000, 0.500), Ag at (0.250, 0.250, 0.250) and Pd at (0.250, 0.250, 0.750).

Its formation energy is -0.471 eV per atom.

=====

Sm5Sn: relaxed, PBE.

The space group is Cmmm (No. 65) and the conventional cell measures 5.769, 11.086 and 5.845 Å, with angles of 90.00, 90.00 and 90.00 degrees. The inequivalent atoms are Sm at (0.000, 0.000, 0.000), Sm at (0.000, 0.157, 0.500), Sm at (0.000, 0.343, 0.000) and Sn at (0.000, 0.500, 0.500).

Its formation energy is -0.173 eV per atom. The value obtained for the energy above the most stable polymorph in this dataset is 90 meV/atom.

=====

K2SrSc: relaxed, PBE.

The space group is C2/m (No. 12) and the conventional cell measures 7.686, 14.404 and 3.863 Å, with angles of 90.00, 116.20 and 90.00 degrees. The inequivalent atoms are K at (0.250, 0.250, 0.000), Sr at (0.000, 0.000, 0.500) and Sc at (0.000, 0.500, 0.500).

Its formation energy is 0.487 eV per atom. The value obtained for the energy above the most stable polymorph in this dataset is 132 meV/atom.

=====

TlVPb2Cl8: relaxed, PBE.

The space group is P-1 (No. 2) and the conventional cell measures 6.325, 6.655 and 8.711 Å, with angles of 90.03, 90.14 and 91.53 degrees. The inequivalent atoms are Tl at (0.000, 0.000, 0.000), V at (0.000, 0.000, 0.500), Pb at (0.499, 0.500, 0.740), Cl at (0.217, 0.702, 0.499), Cl at (0.223, 0.144, 0.305), Cl at (0.224, 0.142, 0.696) and Cl at (0.269, 0.623, 0.000).

Its formation energy from raw total energies is -1.11 eV per atom.

=====

U2TiCl8: relaxed, PBE.

The space group is C2/m (No. 12) and the conventional cell measures 13.865, 6.406 and 7.050 Å, with angles of 90.00, 91.98 and 90.00 degrees. The inequivalent atoms are U at (0.119, 0.000, 0.453), Ti at (0.000, 0.000, 0.000), Cl at (0.029, 0.247, 0.733), Cl at (0.175, 0.000, 0.087) and Cl at (0.193, 0.500, 0.425).

Its formation energy from raw total energies is -1.52 eV per atom.

=====

The spin magnetization results, record by record, are as follows: 7.4, 15.1, 0.0, 0.0, 0.0, 2.9, 2.0, 16.0 μB per cell.